Record 1
DFT (GGA-PBE) results for an optimized crystal structure of HfBS3.

* distance to the lowest polymorph of the same formula: 329 meV per atom
* total energy: -5.45 eV per atom
* D(E_F): 2.36 states/eV per cell
* uncorrected formation energy: 0.36 eV per atom

Structure (POSCAR):
```
HfBS3
1.0
-2.2771 4.2784 -0.9081
-3.4198 -2.3799 -2.6373
-2.7266 -0.5881 4.0662
S B Hf
3 1 1
Direct
0.0000 0.5000 0.0000
0.0000 0.0000 0.5000
0.5000 0.0000 0.0000
0.5000 0.5000 0.5000
0.0000 0.0000 0.0000
```


Record 2
DFT (GGA-PBE) results for an optimized crystal structure of K2Cu2PbO6.

* total energy: -4.71 eV per atom
* D(E_F): 2.91 states/eV per cell
* uncorrected formation energy: -0.72 eV per atom

Structure (POSCAR):
```
K2Cu2PbO6
1.0
-0.8625 5.6749 1.2147
-3.9149 -4.0032 1.7527
3.3921 -0.7430 5.8797
K Cu Pb O
2 2 1 6
Direct
0.6667 0.3333 0.6418
0.3333 0.6667 0.3582
0.3333 0.6667 0.8355
0.6667 0.3333 0.1645
0.0000 0.0000 0.0000
0.0786 0.3322 0.8008
0.6678 0.7464 0.8008
0.2536 0.9214 0.8008
0.9214 0.6678 0.1992
0.3322 0.2536 0.1992
0.7464 0.0786 0.1992
```


Record 3
DFT (GGA-PBE) results for an optimized crystal structure of Ho4Pb2C.

* distance to the lowest polymorph of the same formula: 169 meV per atom
* total energy: -5.38 eV per atom
* DFT formation energy: -37 kJ per mole of atoms
* D(E_F): 2.85 states/eV per cell

Structure (POSCAR):
```
Ho4Pb2C
1.0
0.3265 6.1941 -1.9661
-0.8314 -1.9911 -6.4109
-8.8097 -2.5132 1.9231
Ho Pb C
8 4 2
Direct
0.5167 0.5020 0.2718
0.1204 0.7500 0.9438
0.8796 0.2500 0.0562
0.5167 0.9980 0.2718
0.9261 0.2500 0.6545
0.4833 0.0020 0.7282
0.4833 0.4980 0.7282
0.0739 0.7500 0.3455
0.6883 0.7500 0.0317
0.3117 0.2500 0.9683
0.1858 0.2500 0.4175
0.8142 0.7500 0.5825
0.2799 0.7500 0.2001
0.7201 0.2500 0.7999
```


Record 4
DFT (GGA-PBE) results for an optimized crystal structure of BaAlIO2.

* distance to the lowest polymorph of the same formula: 929 meV per atom
* total energy: -3.81 eV per atom
* D(E_F): 1.70 states/eV per cell
* uncorrected formation energy: -0.39 eV per atom

Structure (POSCAR):
```
BaAlIO2
1.0
4.6016 0.0000 0.0000
0.0000 4.6016 0.0000
0.0000 0.0000 7.2662
I Ba O Al
1 1 2 1
Direct
0.0000 0.0000 0.5000
0.0000 0.0000 0.0000
0.0000 0.5000 0.0000
0.5000 0.0000 0.0000
0.5000 0.5000 0.5000
```


Record 5
DFT (GGA-PBE) results for an optimized crystal structure of Ti2AsRuPt.

* total energy: -6.84 eV per atom
* DFT formation energy: 30 kJ per mole of atoms
* D(E_F): 3.78 states/eV per cell

Structure (POSCAR):
```
Ti2AsRuPt
1.0
4.5981 0.0000 0.0000
0.0000 4.5981 0.0000
0.0000 0.0000 4.4375
Ru As Pt Ti
1 1 1 2
Direct
0.0000 0.0000 0.5000
0.0000 0.0000 0.0000
0.5000 0.5000 0.5000
0.0000 0.5000 0.0000
0.5000 0.0000 0.0000
```


Record 6
DFT (GGA-PBE) results for an optimized crystal structure of K3LiMn.

* distance to the lowest polymorph of the same formula: 0 meV per atom
* total energy: -2.14 eV per atom
* DFT formation energy: 71 kJ per mole of atoms
* D(E_F): 22.34 states/eV per cell

Structure (POSCAR):
```
K3LiMn
1.0
6.7542 0.0000 0.0000
0.0000 6.7542 0.0000
0.0000 0.0000 6.7542
K Mn Li
3 1 1
Direct
0.0000 0.5000 0.0000
0.0000 0.0000 0.5000
0.5000 0.0000 0.0000
0.0000 0.0000 0.0000
0.5000 0.5000 0.5000
```


Record 7
DFT (GGA-PBE) results for an optimized crystal structure of LiRhIN2.

* distance to the lowest polymorph of the same formula: 1229 meV per atom
* total energy: -3.68 eV per atom
* D(E_F): 4.55 states/eV per cell
* uncorrected formation energy: 1.81 eV per atom

Structure (POSCAR):
```
LiRhIN2
1.0
3.8261 0.0000 0.0000
0.0000 3.8261 0.0000
0.0000 0.0000 5.3830
I Li Rh N
1 1 1 2
Direct
0.0000 0.0000 0.5000
0.0000 0.0000 0.0000
0.5000 0.5000 0.5000
0.0000 0.5000 0.0000
0.5000 0.0000 0.0000
```


Record 8
DFT (GGA-PBE) results for an optimized crystal structure of LaNd2Tl.

* distance to the lowest polymorph of the same formula: 122 meV per atom
* total energy: -4.30 eV per atom
* DFT formation energy: -9 kJ per mole of atoms
* D(E_F): 6.27 states/eV per cell

Structure (POSCAR):
```
LaNd2Tl
1.0
3.7862 0.0000 0.0000
1.8931 3.2790 0.0000
1.8931 1.0930 11.1152
La Nd Tl
1 2 1
Direct
0.4998 0.4998 0.5006
0.0759 0.0759 0.7722
0.2577 0.2577 0.2270
0.6666 0.6666 0.0002
```


Record 9
DFT (GGA-PBE) results for an optimized crystal structure of AlAu3C.

* distance to the lowest polymorph of the same formula: 0 meV per atom
* total energy: -3.85 eV per atom
* DFT formation energy: 68 kJ per mole of atoms
* D(E_F): 1.06 states/eV per cell

Structure (POSCAR):
```
AlAu3C
1.0
4.3976 0.0000 0.0000
0.0000 4.3976 0.0000
0.0000 0.0000 4.3976
C Au Al
1 3 1
Direct
0.0000 0.0000 0.0000
0.0000 0.5000 0.0000
0.0000 0.0000 0.5000
0.5000 0.0000 0.0000
0.5000 0.5000 0.5000
```


Record 10
DFT (GGA-PBE) results for an optimized crystal structure of LiCa3La.

* distance to the lowest polymorph of the same formula: 0 meV per atom
* total energy: -2.30 eV per atom
* DFT formation energy: 26 kJ per mole of atoms
* D(E_F): 5.90 states/eV per cell

Structure (POSCAR):
```
LiCa3La
1.0
-5.2558 2.4440 -0.1489
-1.5409 -3.5754 -4.2967
-1.9029 -3.8552 3.8904
Ca Li La
3 1 1
Direct
0.0000 0.5000 0.0000
0.0000 0.0000 0.5000
0.5000 0.0000 0.0000
0.0000 0.0000 0.0000
0.5000 0.5000 0.5000
```


Record 11
DFT (GGA-PBE) results for an optimized crystal structure of Lu2CuRu.

* total energy: -6.04 eV per atom
* DFT formation energy: -42 kJ per mole of atoms
* D(E_F): 3.59 states/eV per cell

Structure (POSCAR):
```
Lu2CuRu
1.0
4.7535 0.0005 0.0001
2.3772 4.1165 0.0001
2.3770 1.3722 3.8811
Ru Lu Cu
1 2 1
Direct
0.7499 0.7500 0.7500
0.9999 0.0000 0.0000
0.4999 0.5000 0.5000
0.2498 0.2501 0.2500
```


Record 12
DFT (GGA-PBE) results for an optimized crystal structure of Sm8Ge2Ir.

* total energy: -5.53 eV per atom
* DFT formation energy: -44 kJ per mole of atoms
* D(E_F): 8.47 states/eV per cell

Structure (POSCAR):
```
Sm8Ge2Ir
1.0
4.8676 0.0000 0.0000
0.0000 6.7878 0.2589
-2.4338 -2.5520 9.2375
Sm Ge Ir
8 2 1
Direct
0.4082 0.5358 0.8164
0.6538 0.9970 0.3077
0.7833 0.6685 0.5666
0.9763 0.2138 0.9526
0.2167 0.3315 0.4334
0.3462 0.0030 0.6923
0.5918 0.4642 0.1836
0.0237 0.7862 0.0474
0.8171 0.2448 0.6343
0.1829 0.7552 0.3657
0.5000 0.0000 0.0000
```